(1)
# YZn2Au

Crystalline YZn2Au at its relaxed geometry (GGA-PBEsol, the Alexandria database).

```
data_YZn2Au
_symmetry_space_group_name_H-M 'F -4 3 m'
_symmetry_Int_Tables_number 216
_symmetry_space_group_name_Hall 'F -4 2 3'
_cell_length_a 6.611
_cell_length_b 6.611
_cell_length_c 6.611
_cell_angle_alpha 90.00
_cell_angle_beta 90.00
_cell_angle_gamma 90.00
loop_
_atom_site_label
_atom_site_type_symbol
_atom_site_fract_x
_atom_site_fract_y
_atom_site_fract_z
_atom_site_occupancy
Y1 Y 0.000 0.000 0.000 1
Zn1 Zn 0.000 0.000 0.500 1
Zn2 Zn 0.250 0.250 0.750 1
Au1 Au 0.250 0.250 0.250 1
```

Summary:
Energy in eV/atom: -3.961
Calculated formation energy in eV/atom: -0.48

---

(2)
# BaCa2HOs

Crystalline BaCa2HOs at its relaxed geometry (GGA-PBEsol, the Alexandria database).

```
data_BaCa2HOs
_symmetry_space_group_name_H-M 'P 4/m m m'
_symmetry_Int_Tables_number 123
_symmetry_space_group_name_Hall '-P 4 2'
_cell_length_a 5.020
_cell_length_b 5.020
_cell_length_c 4.162
_cell_angle_alpha 90.00
_cell_angle_beta 90.00
_cell_angle_gamma 90.00
loop_
_atom_site_label
_atom_site_type_symbol
_atom_site_fract_x
_atom_site_fract_y
_atom_site_fract_z
_atom_site_occupancy
Ba1 Ba 0.000 0.000 0.000 1
Ca1 Ca 0.000 0.500 0.500 1
H1 H 0.500 0.500 0.500 1
Os1 Os 0.500 0.500 0.000 1
```

Summary:
Energy in eV/atom: -3.955